Ac2CuSe2O2: relaxed, PBE.

Unit cell a=4.2460 b=4.2460 c=11.8167 alpha=90.00 beta=90.00 gamma=120.00
Closest atoms and distances in Å follow each position.
Space group P-3m1 (No. 164)
Asymmetric unit:
Ac 0.3333 0.6667 0.1348  4 O 2.52-2.54
Cu 0.0000 0.0000 0.5000  2 Se 2.22
Se 0.0000 0.0000 0.3125  1 Cu 2.22
O 0.3333 0.6667 0.9217  4 Ac 2.52-2.54

## Properties
* D(E_F): 5.07 states/eV per cell

AcCuSeO: relaxed, PBE.

Unit cell a=4.1819 b=4.1819 c=8.9645 alpha=90.00 beta=90.00 gamma=90.00
Closest atoms and distances in Å follow each position.
Space group P4/nmm (No. 129, origin choice 2)
Asymmetric unit:
Ac 0.2500 0.2500 0.1457  4 O 2.47
Cu 0.2500 0.7500 0.5000  4 Se 2.54
Se 0.2500 0.2500 0.6603  4 Cu 2.54
O 0.2500 0.7500 0.0000  4 Ac 2.47

AcCuSiO4: relaxed, PBE.

Unit cell a=5.6927 b=8.6946 c=8.0295 alpha=90.00 beta=90.00 gamma=90.00
Closest atoms and distances in Å follow each position.
Space group Imma (No. 74)
Asymmetric unit:
Ac 0.0000 0.0000 0.0000  6 O 2.53-2.63
Cu 0.2500 0.2500 0.2500  2 O 1.82
Si 0.0000 0.2500 0.6007  4 O 1.62-1.70
O 0.0000 0.0874 0.6996  1 Si 1.62
O 0.2420 0.2500 0.4767  1 Si 1.70, 1 Cu 1.82

## Properties
* D(E_F): 0.00 states/eV per cell

Ac2CuSiO6: relaxed, PBE.

Unit cell a=5.5803 b=5.5803 c=3.8483 alpha=90.00 beta=90.00 gamma=90.00
Closest atoms and distances in Å follow each position.
Space group P4/mmm (No. 123)
Asymmetric unit:
Ac 0.0000 0.5000 0.0000  12 O 2.76-2.79
Cu 0.0000 0.0000 0.5000  2 O 1.92
Si 0.5000 0.5000 0.5000  6 O 1.78-1.92
O 0.0000 0.0000 0.0000  2 Cu 1.92
O 0.2743 0.2743 0.5000  1 Si 1.78
O 0.5000 0.5000 0.0000  2 Si 1.92

## Properties
* D(E_F): 1.72 states/eV per cell

Ac2CuSnO6: relaxed, PBE.

Unit cell a=10.3878 b=5.6325 c=5.7338 alpha=90.00 beta=121.86 gamma=90.00
Closest atoms and distances in Å follow each position.
Space group C2/m (No. 12)
Asymmetric unit:
Ac 0.2453 0.0000 0.2281  5 O 2.46-2.60
Cu 0.0000 0.5000 0.0000  4 O 2.01
Sn 0.0000 0.0000 0.5000  6 O 2.05-2.12
O 0.0546 0.2546 0.8107  1 Cu 2.01, 1 Sn 2.12
O 0.2270 0.0000 0.6395  1 Sn 2.05

## Properties
* D(E_F): 0.46 states/eV per cell

Sr2AcCu2O6: relaxed, PBE.

Unit cell a=6.0093 b=6.0093 c=19.1832 alpha=90.00 beta=90.00 gamma=120.00
Closest atoms and distances in Å follow each position.
Space group R-3m (No. 166, hexagonal axes)
Asymmetric unit:
Sr 0.0000 0.0000 0.1947  3 O 2.51
Ac 0.0000 0.0000 0.0000  6 O 2.47
Cu 0.0000 0.0000 0.4289  3 O 1.82
O 0.0169 0.5084 0.7626  1 Cu 1.82

## Properties
* D(E_F): 6.84 states/eV per cell

SrAc2CuO5: relaxed, PBE.

Unit cell a=7.0373 b=7.0373 c=5.9271 alpha=90.00 beta=90.00 gamma=90.00
Closest atoms and distances in Å follow each position.
Space group P4/mbm (No. 127)
Asymmetric unit:
Sr 0.0000 0.0000 0.0000  10 O 2.96-3.04
Ac 0.1737 0.3263 0.5000  4 O 2.44-2.60
Cu 0.0000 0.5000 0.0000  4 O 1.96
O 0.0000 0.0000 0.5000  4 Ac 2.60
O 0.1407 0.6407 0.2316  1 Cu 1.96

Sr2AcCuO5: relaxed, PBE.

Unit cell a=6.7525 b=6.7525 c=11.7362 alpha=90.00 beta=90.00 gamma=90.00
Closest atoms and distances in Å follow each position.
Space group I4/mcm (No. 140)
Asymmetric unit:
Sr 0.1672 0.3328 0.0000  4 O 2.44-2.52
Ac 0.0000 0.0000 0.2500  10 O 2.85-2.93
Cu 0.0000 0.5000 0.2500  4 O 1.88
O 0.0000 0.0000 0.0000  4 Sr 2.52
O 0.1498 0.3502 0.3545  1 Cu 1.88

## Properties
* D(E_F): 9.27 states/eV per cell

Ac2TaCuO6: relaxed, PBE.

Unit cell a=5.5398 b=5.5398 c=5.1521 alpha=90.00 beta=90.00 gamma=90.00
Closest atoms and distances in Å follow each position.
Space group P4mm (No. 99)
Asymmetric unit:
Ac 0.0000 0.5000 0.0000  4 O 2.49
Ta 0.0000 0.0000 0.5733  5 O 1.92-1.95
Cu 0.5000 0.5000 0.4901  1 O 1.89
O 0.0000 0.0000 0.2008  1 Ta 1.92
O 0.2342 0.2342 0.7020  1 Ta 1.95
O 0.5000 0.5000 0.1236  1 Cu 1.89

AcTaCuO5: relaxed, PBE.

Unit cell a=6.5039 b=9.6653 c=7.5318 alpha=90.00 beta=108.67 gamma=90.00
Closest atoms and distances in Å follow each position.
Space group C2/c (No. 15)
Asymmetric unit:
Ac 0.0000 0.1683 0.2500  7 O 2.53-2.74
Ta 0.0000 0.5000 0.0000  6 O 1.98-2.01
Cu 0.0000 0.1751 0.7500  4 O 1.95-1.98
O 0.0000 0.4352 0.2500  2 Ta 1.98
O 0.0803 0.3041 0.5847  1 Cu 1.95, 1 Ta 2.01
O 0.1835 0.0427 0.9325  1 Cu 1.98, 1 Ta 2.00

## Properties
* D(E_F): 7.73 states/eV per cell

Ac4TbCu3O12: relaxed, PBE.

Unit cell a=8.0820 b=8.0820 c=8.0820 alpha=90.00 beta=90.00 gamma=90.00
Closest atoms and distances in Å follow each position.
Space group Im-3m (No. 229)
Asymmetric unit:
Ac 0.2500 0.2500 0.2500  12 O 2.86
Tb 0.0000 0.0000 0.0000  6 O 2.15
Cu 0.0000 0.0000 0.5000  6 O 1.89-2.02
O 0.0000 0.0000 0.2664  1 Cu 1.89
O 0.0000 0.2500 0.5000  2 Cu 2.02

## Properties
* D(E_F): 12.96 states/eV per cell

Ac3TbCu2O9: relaxed, PBE.

Unit cell a=5.7220 b=5.7220 c=7.2390 alpha=90.00 beta=90.00 gamma=120.00
Closest atoms and distances in Å follow each position.
Space group P-3m1 (No. 164)
Asymmetric unit:
Ac 0.0000 0.0000 0.0000  12 O 2.81-2.86
Ac 0.3333 0.6667 0.7079  9 O 2.68-2.86
Tb 0.0000 0.0000 0.5000  6 O 2.18
Cu 0.3333 0.6667 0.1616  6 O 1.94-2.02
O 0.0000 0.5000 0.0000  2 Cu 2.02
O 0.1704 0.3409 0.3099  1 Cu 1.94

## Properties
* D(E_F): 4.58 states/eV per cell

AcCu2TeO8: relaxed, PBE.

Unit cell a=7.1627 b=7.1627 c=6.4712 alpha=90.00 beta=90.00 gamma=90.00
Closest atoms and distances in Å follow each position.
Space group I-4m2 (No. 119)
Asymmetric unit:
Ac 0.0000 0.0000 0.0000  8 O 2.46-2.55
Cu 0.0000 0.0000 0.5000  4 O 1.95
Cu 0.0000 0.5000 0.7500  4 O 1.82
Te 0.0000 0.5000 0.2500  8 O 2.09-2.13
O 0.0000 0.2140 0.3141  1 Cu 1.95, 1 Te 2.09
O 0.0000 0.3425 0.9706  1 Cu 1.82

## Properties
* D(E_F): 15.72 states/eV per cell

AcCuTe2O8: relaxed, PBE.

Unit cell a=7.5699 b=7.5699 c=7.0309 alpha=90.00 beta=90.00 gamma=90.00
Closest atoms and distances in Å follow each position.
Space group I-4m2 (No. 119)
Asymmetric unit:
Ac 0.0000 0.0000 0.0000  8 O 2.45-2.73
Cu 0.0000 0.5000 0.7500  4 O 2.40
Te 0.0000 0.0000 0.5000  4 O 1.89
Te 0.0000 0.5000 0.2500  4 O 1.83
O 0.0000 0.1921 0.6708  1 Te 1.89
O 0.0000 0.3145 0.0832  1 Te 1.83

## Properties
* D(E_F): 12.95 states/eV per cell

AcCuTeO6: relaxed, PBE.

Unit cell a=5.2467 b=5.2467 c=5.4058 alpha=90.00 beta=90.00 gamma=120.00
Closest atoms and distances in Å follow each position.
Space group P312 (No. 149)
Asymmetric unit:
Ac 0.0000 0.0000 0.0000  6 O 2.54
Cu 0.3333 0.6667 0.5000  6 O 2.03
Te 0.6667 0.3333 0.5000  6 O 1.95
O 0.3820 0.0106 0.7063  1 Te 1.95, 1 Cu 2.03

## Properties
* D(E_F): 0.04 states/eV per cell

Ac2CuTe2O2: relaxed, PBE.

Unit cell a=4.2461 b=4.2461 c=12.7991 alpha=90.00 beta=90.00 gamma=120.00
Closest atoms and distances in Å follow each position.
Space group P-3m1 (No. 164)
Asymmetric unit:
Ac 0.3333 0.6667 0.1246  4 O 2.53-2.54
Cu 0.0000 0.0000 0.5000  2 Te 2.41
Te 0.0000 0.0000 0.3120  1 Cu 2.41
O 0.3333 0.6667 0.9269  4 Ac 2.53-2.54

## Properties
* D(E_F): 3.53 states/eV per cell

AcTi4Cu3O12: relaxed, PBE.

Unit cell a=7.5680 b=7.5680 c=7.5680 alpha=90.00 beta=90.00 gamma=90.00
Closest atoms and distances in Å follow each position.
Space group Im-3 (No. 204)
Asymmetric unit:
Ac 0.0000 0.0000 0.0000  12 O 2.66
Ti 0.2500 0.2500 0.2500  6 O 2.00
Cu 0.0000 0.0000 0.5000  4 O 2.04
O 0.0000 0.1816 0.3008  2 Ti 2.00, 1 Cu 2.04

## Properties
* D(E_F): 10.19 states/eV per cell

Ac2TiCuO6: relaxed, PBE.

Unit cell a=5.6952 b=5.6952 c=3.9611 alpha=90.00 beta=90.00 gamma=90.00
Closest atoms and distances in Å follow each position.
Space group P4/mmm (No. 123)
Asymmetric unit:
Ac 0.0000 0.5000 0.0000  12 O 2.83-2.85
Ti 0.0000 0.0000 0.5000  6 O 1.93-1.98
Cu 0.5000 0.5000 0.5000  6 O 1.98-2.09
O 0.0000 0.0000 0.0000  2 Ti 1.98
O 0.2399 0.2399 0.5000  1 Ti 1.93, 1 Cu 2.09
O 0.5000 0.5000 0.0000  2 Cu 1.98

## Properties
* D(E_F): 1.37 states/eV per cell

AcTlCu2O5: relaxed, PBE.

Unit cell a=3.9342 b=3.9342 c=7.2836 alpha=90.00 beta=90.00 gamma=90.00
Closest atoms and distances in Å follow each position.
Space group P4/mmm (No. 123)
Asymmetric unit:
Ac 0.0000 0.0000 0.0000  12 O 2.78-2.90
Tl 0.0000 0.0000 0.5000  8 O 2.48
Cu 0.5000 0.5000 0.2836  5 O 1.97-2.07
O 0.0000 0.5000 0.2925  2 Cu 1.97
O 0.5000 0.5000 0.0000  2 Cu 2.07

## Properties
* D(E_F): 3.81 states/eV per cell

Ac2TlCu2O6: relaxed, PBE.

Unit cell a=5.9878 b=5.9878 c=16.9330 alpha=90.00 beta=90.00 gamma=120.00
Closest atoms and distances in Å follow each position.
Space group R-3m (No. 166, hexagonal axes)
Asymmetric unit:
Ac 0.0000 0.0000 0.2115  3 O 2.50
Tl 0.0000 0.0000 0.0000  6 O 2.28
Cu 0.0000 0.0000 0.4223  3 O 1.88
O 0.0288 0.5144 0.7639  1 Cu 1.88

## Properties
* D(E_F): 20.81 states/eV per cell

Calculated ρ (g/cm3), listed in the same order as above: 6.37; 8.17; 6.39; 8.89; 8.53; 5.19; 7.75; 6.77; 8.34; 8.17; 9.12; 8.99; 6.10; 5.55; 6.62; 6.69; 6.14; 8.55; 9.40; 8.35
Calculated total DFT energy (no corrections) (eV per atom), listed in the same order as above: -6.17; -6.15; -7.26; -7.36; -6.89; -5.93; -6.81; -6.25; -8.03; -8.08; -6.90; -7.00; -5.49; -5.75; -6.18; -5.93; -7.73; -7.72; -5.64; -6.00